(1)
Compound: Tm4Mg3Sc
Source: the Alexandria database
Functional: PBE
Structure: optimized geometry

For the total DFT energy (no corrections), the calculation gives -0.134 hartree per atom. The calculation puts the formation energy at -0.031 eV/atom.

It has space group P4/mmm (No. 123), with a = 3.593 Å, b = 3.593 Å, c = 16.617 Å, α = 90.00°, β = 90.00° and γ = 90.00°. Symmetry generates all atoms from Tm at (0.000, 0.000, 0.119), Tm at (0.000, 0.000, 0.371), Mg at (0.500, 0.500, 0.000), Mg at (0.500, 0.500, 0.244) and Sc at (0.500, 0.500, 0.500).

=====

(2)
Compound: TmMg3Sc2
Source: the Alexandria database
Functional: PBE
Structure: optimized geometry

For the total DFT energy (no corrections), the calculation gives -0.136 hartree per atom. The calculation puts the formation energy at -0.043 eV/atom.

It has space group P4/mmm (No. 123), with a = 3.644 Å, b = 3.644 Å, c = 10.979 Å, α = 90.00°, β = 90.00° and γ = 90.00°. Symmetry generates all atoms from Tm at (0.000, 0.000, 0.000), Mg at (0.500, 0.500, 0.180), Mg at (0.500, 0.500, 0.500) and Sc at (0.000, 0.000, 0.338).

=====

(3)
Compound: Tm5MgSc4
Source: the Alexandria database
Functional: PBE
Structure: optimized geometry

For the total DFT energy (no corrections), the calculation gives -0.180 hartree per atom. The calculation puts the formation energy at 0.027 eV/atom.

It has space group P4/mmm (No. 123), with a = 3.417 Å, b = 3.417 Å, c = 23.239 Å, α = 90.00°, β = 90.00° and γ = 90.00°. Symmetry generates all atoms from Tm at (0.000, 0.000, 0.000), Tm at (0.000, 0.000, 0.201), Tm at (0.000, 0.000, 0.400), Mg at (0.500, 0.500, 0.500), Sc at (0.500, 0.500, 0.100) and Sc at (0.500, 0.500, 0.302).

=====

(4)
Compound: TmMg7Sc3
Source: the Alexandria database
Functional: PBE
Structure: optimized geometry

The calculation puts the energy above the most stable polymorph in this dataset at 0.000 eV per atom. For the total DFT energy (no corrections), the calculation gives -0.110 hartree per atom. The calculation puts the formation energy at 0.152 eV/atom.

It has space group Cmcm (No. 63), with a = 3.169 Å, b = 21.632 Å, c = 16.314 Å, α = 90.00°, β = 90.00° and γ = 90.00°. Symmetry generates all atoms from Tm at (0.000, 0.009, 0.250), Mg at (0.000, 0.256, 0.581), Mg at (0.000, 0.374, 0.250), Mg at (0.000, 0.377, 0.657), Mg at (0.000, 0.500, 0.084), Sc at (0.000, 0.118, 0.520) and Sc at (0.000, 0.229, 0.250).

=====

(5)
Compound: Tm6MgSc3
Source: the Alexandria database
Functional: PBE
Structure: optimized geometry

The calculation puts the energy above the most stable polymorph in this dataset at 0.000 eV per atom. For the total DFT energy (no corrections), the calculation gives -0.173 hartree per atom. The calculation puts the formation energy at 0.036 eV/atom.

It has space group P2_1/m (No. 11), with a = 10.658 Å, b = 4.833 Å, c = 10.771 Å, α = 90.00°, β = 90.66° and γ = 90.00°. Symmetry generates all atoms from Tm at (0.048, 0.250, 0.399), Tm at (0.145, 0.750, 0.198), Tm at (0.244, 0.250, 0.996), Tm at (0.343, 0.750, 0.798), Tm at (0.349, 0.250, 0.299), Tm at (0.448, 0.250, 0.598), Mg at (0.452, 0.750, 0.094), Sc at (0.050, 0.750, 0.899), Sc at (0.150, 0.250, 0.699) and Sc at (0.250, 0.750, 0.501).

=====

(6)
Compound: Tm3MgSc3
Source: the Alexandria database
Functional: PBE
Structure: optimized geometry

The calculation puts the energy above the most stable polymorph in this dataset at 0.083 eV per atom. For the total DFT energy (no corrections), the calculation gives -0.175 hartree per atom. The calculation puts the formation energy at 0.107 eV/atom.

It has space group R-3 (No. 148, hexagonal axes), with a = 5.8615 Å, b = 5.8615 Å, c = 39.9424 Å, α = 90.00°, β = 90.00° and γ = 120.00°. Symmetry generates all atoms from Tm at (0.0000, 0.3358, 0.4318), Mg at (0.0000, 0.0000, 0.1666) and Sc at (0.9998, 0.3323, 0.6350).

=====

(7)
Compound: Tm2Mg8Sc
Source: the Alexandria database
Functional: PBE
Structure: optimized geometry

The calculation puts the energy above the most stable polymorph in this dataset at 0.103 eV per atom. For the total DFT energy (no corrections), the calculation gives -0.090 hartree per atom. The calculation puts the formation energy at 0.090 eV/atom.

It has space group P4/mmm (No. 123), with a = 4.629 Å, b = 4.629 Å, c = 13.311 Å, α = 90.00°, β = 90.00° and γ = 90.00°. Symmetry generates all atoms from Tm at (0.000, 0.000, 0.179), Mg at (0.000, 0.500, 0.000), Mg at (0.000, 0.500, 0.348), Mg at (0.500, 0.500, 0.171) and Sc at (0.000, 0.000, 0.500).

=====

(8)
Compound: Tm3MgSc2
Source: the Alexandria database
Functional: PBE
Structure: optimized geometry

For the total DFT energy (no corrections), the calculation gives -0.169 hartree per atom. The calculation puts the formation energy at 0.008 eV/atom.

It has space group P4/mmm (No. 123), with a = 3.432 Å, b = 3.432 Å, c = 13.804 Å, α = 90.00°, β = 90.00° and γ = 90.00°. Symmetry generates all atoms from Tm at (0.000, 0.000, 0.000), Tm at (0.000, 0.000, 0.333), Mg at (0.500, 0.500, 0.500) and Sc at (0.500, 0.500, 0.168).

=====

(9)
Compound: TmMgSc
Source: the Alexandria database
Functional: PBE
Structure: optimized geometry

The calculation puts the energy above the most stable polymorph in this dataset at 0.081 eV per atom. For the total DFT energy (no corrections), the calculation gives -0.150 hartree per atom. The calculation puts the formation energy at 0.063 eV/atom.

It has space group P3m1 (No. 156), with a = 5.2563 Å, b = 5.2563 Å, c = 3.2417 Å, α = 90.00°, β = 90.00° and γ = 120.00°. Symmetry generates all atoms from Tm at (0.0000, 0.0000, 0.0000), Mg at (0.6667, 0.3333, 0.6414) and Sc at (0.3333, 0.6667, 0.4242).

=====

(10)
Compound: Tm6MgSc8
Source: the Alexandria database
Functional: PBE
Structure: optimized geometry

For the total DFT energy (no corrections), the calculation gives -0.188 hartree per atom. The calculation puts the formation energy at 0.150 eV/atom.

It has space group P-3 (No. 147), with a = 8.9215 Å, b = 8.9215 Å, c = 5.8752 Å, α = 90.00°, β = 90.00° and γ = 120.00°. Symmetry generates all atoms from Tm at (0.0905, 0.4513, 0.1944), Mg at (0.0000, 0.0000, 0.0000), Sc at (0.0428, 0.2670, 0.6858) and Sc at (0.3333, 0.6667, 0.6928).

=====

(11)
Compound: Tm5Mg3Sc12
Source: the Alexandria database
Functional: PBE
Structure: optimized geometry

For the total DFT energy (no corrections), the calculation gives -0.153 hartree per atom. The calculation puts the formation energy at 1.002 eV/atom.

It has space group Ia-3d (No. 230), with a = 17.707 Å, b = 17.707 Å, c = 17.707 Å, α = 90.00°, β = 90.00° and γ = 90.00°. Symmetry generates all atoms from Tm at (0.000, 0.000, 0.000), Tm at (0.000, 0.250, 0.375), Mg at (0.000, 0.250, 0.125) and Sc at (0.004, 0.082, 0.149).

=====

(12)
Compound: Tm4MgSc2
Source: the Alexandria database
Functional: PBE
Structure: optimized geometry

The calculation puts the energy above the most stable polymorph in this dataset at 0.003 eV per atom. For the total DFT energy (no corrections), the calculation gives -0.164 hartree per atom. The calculation puts the formation energy at 0.119 eV/atom.

It has space group P2_1/m (No. 11), with a = 5.370 Å, b = 6.585 Å, c = 11.360 Å, α = 90.00°, β = 103.76° and γ = 90.00°. Symmetry generates all atoms from Tm at (0.068, 0.250, 0.143), Tm at (0.212, 0.750, 0.429), Tm at (0.355, 0.507, 0.709), Mg at (0.079, 0.750, 0.152), Sc at (0.216, 0.250, 0.429) and Sc at (0.489, 0.250, 0.986).

=====

(13)
Compound: Tm2MgSc
Source: the Alexandria database
Functional: PBE
Structure: optimized geometry

The calculation puts the energy above the most stable polymorph in this dataset at 0.196 eV per atom. For the total DFT energy (no corrections), the calculation gives -0.148 hartree per atom. The calculation puts the formation energy at 0.182 eV/atom.

It has space group R-3m (No. 166, hexagonal axes), with a = 3.3346 Å, b = 3.3346 Å, c = 35.3670 Å, α = 90.00°, β = 90.00° and γ = 120.00°. Symmetry generates all atoms from Tm at (0.0000, 0.0000, 0.0916), Mg at (0.0000, 0.0000, 0.0000) and Sc at (0.0000, 0.0000, 0.5000).

=====

(14)
Compound: TmMgSc6
Source: the Alexandria database
Functional: PBE
Structure: optimized geometry

For the total DFT energy (no corrections), the calculation gives -0.201 hartree per atom. The calculation puts the formation energy at 0.037 eV/atom.

It has space group P-6m2 (No. 187), with a = 6.6428 Å, b = 6.6428 Å, c = 5.2353 Å, α = 90.00°, β = 90.00° and γ = 120.00°. Symmetry generates all atoms from Tm at (0.0000, 0.0000, 0.0000), Mg at (0.3333, 0.6667, 0.5000), Sc at (0.3329, 0.1664, 0.5000) and Sc at (0.5018, 0.0035, 0.0000).

=====

(15)
Compound: Tm4MgSc2
Source: the Alexandria database
Functional: PBE
Structure: optimized geometry

The calculation puts the energy above the most stable polymorph in this dataset at 0.000 eV per atom. For the total DFT energy (no corrections), the calculation gives -0.164 hartree per atom. The calculation puts the formation energy at 0.117 eV/atom.

It has space group Cmcm (No. 63), with a = 3.389 Å, b = 16.276 Å, c = 14.392 Å, α = 90.00°, β = 90.00° and γ = 90.00°. Symmetry generates all atoms from Tm at (0.000, 0.000, 0.000), Tm at (0.000, 0.151, 0.144), Tm at (0.000, 0.189, 0.750), Mg at (0.000, 0.494, 0.250) and Sc at (0.000, 0.325, 0.047).

=====

(16)
Compound: Tm3Mg4Sc
Source: the Alexandria database
Functional: PBE
Structure: optimized geometry

The calculation puts the energy above the most stable polymorph in this dataset at 0.000 eV per atom. For the total DFT energy (no corrections), the calculation gives -0.122 hartree per atom. The calculation puts the formation energy at -0.053 eV/atom.

It has space group P4/mmm (No. 123), with a = 3.708 Å, b = 3.708 Å, c = 14.902 Å, α = 90.00°, β = 90.00° and γ = 90.00°. Symmetry generates all atoms from Tm at (0.000, 0.000, 0.000), Tm at (0.000, 0.000, 0.255), Mg at (0.500, 0.500, 0.127), Mg at (0.500, 0.500, 0.385) and Sc at (0.000, 0.000, 0.500).

=====

(17)
Compound: TmMg7Sc2
Source: the Alexandria database
Functional: PBE
Structure: optimized geometry

For the total DFT energy (no corrections), the calculation gives -0.094 hartree per atom. The calculation puts the formation energy at 0.269 eV/atom.

It has space group Cmmm (No. 65), with a = 7.500 Å, b = 21.318 Å, c = 3.260 Å, α = 90.00°, β = 90.00° and γ = 90.00°. Symmetry generates all atoms from Tm at (0.000, 0.000, 0.000), Mg at (0.000, 0.385, 0.000), Mg at (0.000, 0.500, 0.500), Mg at (0.187, 0.127, 0.500) and Sc at (0.000, 0.261, 0.500).

=====

(18)
Compound: TmMg4Sc2
Source: the Alexandria database
Functional: PBE
Structure: optimized geometry

The calculation puts the energy above the most stable polymorph in this dataset at 0.000 eV per atom. For the total DFT energy (no corrections), the calculation gives -0.119 hartree per atom. The calculation puts the formation energy at 0.133 eV/atom.

It has space group Cmmm (No. 65), with a = 9.930 Å, b = 10.639 Å, c = 3.370 Å, α = 90.00°, β = 90.00° and γ = 90.00°. Symmetry generates all atoms from Tm at (0.000, 0.000, 0.000), Mg at (0.000, 0.271, 0.500), Mg at (0.250, 0.250, 0.000) and Sc at (0.205, 0.500, 0.500).

=====

(19)
Compound: TmMgSc
Source: the Alexandria database
Functional: PBE
Structure: optimized geometry

The calculation puts the energy above the most stable polymorph in this dataset at 0.305 eV per atom. For the total DFT energy (no corrections), the calculation gives -0.141 hartree per atom. The calculation puts the formation energy at 0.287 eV/atom.

It has space group R3m (No. 160, hexagonal axes), with a = 3.2223 Å, b = 3.2223 Å, c = 27.1816 Å, α = 90.00°, β = 90.00° and γ = 120.00°. Symmetry generates all atoms from Tm at (0.0000, 0.0000, 0.0000), Mg at (0.0000, 0.0000, 0.8806) and Sc at (0.0000, 0.0000, 0.1167).